Record 1
This record from Alexandria describes crystalline SrLaGd2 at its relaxed geometry. The functional is PBE-GGA.

Properties
As for the space group: P4/mmm, No. 123. Its excess energy over the best structure of this formula in the dataset is 76 meV/atom. Its formation energy is 0.69 eV per formula unit.

Cell lengths 5.3143, 5.3080, 5.3080 Å; angles 90.00, 90.00, 90.00 degrees
With the nearest neighbours (Å) after each atom.
Element x y z (fractional)
La1 0.5000 0.0000 0.0000  4 Sr 3.75, 8 Gd 3.76
Sr1 0.5000 0.5000 0.5000  4 La 3.75, 8 Gd 3.76
Gd1 0.0000 0.0000 0.5000  4 Gd 3.75, 4 La 3.76, 4 Sr 3.76
Gd2 0.0000 0.5000 0.0000  4 Gd 3.75, 4 Sr 3.76, 4 La 3.76

***

Record 2
This record from Alexandria describes crystalline Sc2In2Ge at its relaxed geometry. The functional is PBE-GGA.

Properties
As for the space group: P4/mbm, No. 127. Its excess energy over the best structure of this formula in the dataset is 171 meV/atom. Its formation energy is -0.82 eV per formula unit.

Cell lengths 7.9395, 7.9395, 3.7029 Å; angles 90.00, 90.00, 90.00 degrees
With the nearest neighbours (Å) after each atom.
Element x y z (fractional)
In1 0.1285 0.3715 0.0000  1 In 2.89, 6 Sc 2.89-3.05, 2 Ge 3.12
Sc1 0.3259 0.1741 0.5000  6 In 2.89-3.05
In2 0.6285 0.1285 0.0000  1 In 2.89, 6 Sc 2.89-3.05, 2 Ge 3.12
In3 0.8715 0.6285 0.0000  1 In 2.89, 6 Sc 2.89-3.05, 2 Ge 3.12
In4 0.3715 0.8715 0.0000  1 In 2.89, 6 Sc 2.89-3.05, 2 Ge 3.12
Ge1 0.5000 0.5000 0.0000  4 In 3.12, 8 Sc 3.47
Sc2 0.8259 0.3259 0.5000  6 In 2.89-3.05
Sc3 0.6741 0.8259 0.5000  6 In 2.89-3.05
Ge2 0.0000 0.0000 0.0000  4 In 3.12, 8 Sc 3.47
Sc4 0.1741 0.6741 0.5000  6 In 2.89-3.05

***

Record 3
This record from Alexandria describes crystalline TeAu2 at its relaxed geometry. The functional is PBE-GGA.

Properties
As for the space group: P-1, No. 2. Its raw formation energy is 0.043 eV/atom.

Cell lengths 4.7181, 6.6557, 8.1058 Å; angles 59.80, 125.63, 134.99 degrees
With the nearest neighbours (Å) after each atom.
Element x y z (fractional)
Au1 0.0147 0.9709 0.7947  2 Te 2.74, 3 Au 2.87-2.90
Au2 0.7069 0.3656 0.0912  2 Te 2.71-3.02, 5 Au 2.85-2.90
Au3 0.2931 0.6344 0.9088  2 Te 2.71-3.02, 5 Au 2.85-2.90
Au4 0.9853 0.0291 0.2053  2 Te 2.74, 3 Au 2.87-2.90
Te1 0.3639 0.7701 0.3420  4 Au 2.71-3.02
Te2 0.6361 0.2299 0.6580  4 Au 2.71-3.02

***

Record 4
This record from Alexandria describes crystalline YTaBr2 at its relaxed geometry. The functional is PBE-GGA.

Properties
As for the space group: R-3m, No. 166. Its excess energy over the best structure of this formula in the dataset is 257 meV/atom. Its raw formation energy is -0.223 eV/atom.

Cell lengths 9.7732, 9.7732, 9.7732 Å; angles 19.78, 19.78, 19.78 degrees
With the nearest neighbours (Å) after each atom.
Element x y z (fractional)
Ta1 0.0000 0.0000 0.0000  2 Br 2.62
Br1 0.0913 0.0913 0.0913  1 Ta 2.62, 3 Y 2.91
Br2 0.9087 0.9087 0.9087  1 Ta 2.62, 3 Y 2.91
Y1 0.5000 0.5000 0.5000  6 Br 2.91

***

Record 5
This record from Alexandria describes crystalline Rb2Ag2TeS4 at its relaxed geometry. The functional is PBE-GGA.

Properties
As for the space group: C2/m, No. 12. Its raw formation energy is -0.419 eV/atom.

Cell lengths 4.1519, 8.0247, 7.8589 Å; angles 110.22, 90.00, 104.99 degrees
With the nearest neighbours (Å) after each atom.
Element x y z (fractional)
S1 0.5111 0.0222 0.7757  1 Ag 2.62, 2 Te 2.77
Te1 0.0000 0.0000 0.0000  6 S 2.73-2.77
Rb1 0.1378 0.2755 0.5654  7 S 3.34-3.64, 1 Ag 3.61
Ag1 0.6854 0.3709 0.9860  4 S 2.59-2.76, 2 Ag 2.84
Ag2 0.3146 0.6291 0.0140  4 S 2.59-2.76, 2 Ag 2.84
S2 0.8133 0.6267 0.8152  3 Ag 2.59-2.76, 1 Te 2.73
Rb2 0.8622 0.7245 0.4346  7 S 3.34-3.64, 1 Ag 3.61
S3 0.1867 0.3733 0.1848  3 Ag 2.59-2.76, 1 Te 2.73
S4 0.4889 0.9778 0.2243  1 Ag 2.62, 2 Te 2.77

***

Record 6
This record from Alexandria describes crystalline K2TcRu at its relaxed geometry. The functional is PBE-GGA.

Properties
As for the space group: P4mm, No. 99. Its excess energy over the best structure of this formula in the dataset is 0 meV/atom. Its formation energy is 2.91 eV per formula unit.

Cell lengths 3.2669, 3.2669, 10.5714 Å; angles 90.00, 90.00, 90.00 degrees
With the nearest neighbours (Å) after each atom.
Element x y z (fractional)
K1 0.5000 0.5000 0.3325  4 K 3.27, 4 Ru 3.46, 1 Tc 3.58
K2 0.0000 0.0000 0.9198  4 K 3.27, 4 Tc 3.50, 1 Ru 3.63
Tc1 0.5000 0.5000 0.6712  4 Ru 2.52
Ru1 0.0000 0.0000 0.5765  4 Tc 2.52

***

Record 7
This record from Alexandria describes crystalline Na3Tl3Ag2Hg at its relaxed geometry. The functional is PBE-GGA.

Properties
As for the space group: P-62m, No. 189. Its formation energy is -0.59 eV per formula unit.

Cell lengths 3.4502, 8.6360, 8.6360 Å; angles 120.00, 90.00, 90.00 degrees
With the nearest neighbours (Å) after each atom.
Element x y z (fractional)
Ag1 0.5000 0.6667 0.3333  3 Na 3.04, 6 Tl 3.23
Na1 0.5000 0.0000 0.7015  2 Ag 3.04, 2 Hg 3.10, 2 Tl 3.33
Na2 0.5000 0.7015 0.0000  2 Ag 3.04, 2 Hg 3.10, 2 Tl 3.33
Ag2 0.5000 0.3333 0.6667  3 Na 3.04, 6 Tl 3.23
Na3 0.5000 0.2985 0.2985  2 Ag 3.04, 2 Hg 3.10, 2 Tl 3.33
Tl1 0.0000 0.3721 0.0000  1 Hg 3.21, 4 Ag 3.23, 6 Na 3.33-3.42, 2 Tl 3.45
Tl2 0.0000 0.0000 0.3721  1 Hg 3.21, 4 Ag 3.23, 6 Na 3.33-3.42, 2 Tl 3.45
Hg1 0.0000 0.0000 0.0000  6 Na 3.10, 3 Tl 3.21, 2 Hg 3.45
Tl3 0.0000 0.6279 0.6279  1 Hg 3.21, 4 Ag 3.23, 6 Na 3.33-3.42, 2 Tl 3.45

***

Record 8
This record from Alexandria describes crystalline NaCe3Ho2Se6 at its relaxed geometry. The functional is PBE-GGA.

Properties
As for the space group: C2/m, No. 12. Its raw formation energy is -1.732 eV/atom.

Cell lengths 7.1714, 7.1714, 7.2447 Å; angles 99.50, 99.50, 120.00 degrees
With the nearest neighbours (Å) after each atom.
Element x y z (fractional)
Ho1 0.6667 0.3333 0.0000  6 Se 2.87-2.88
Ce1 0.8358 0.1642 0.5000  6 Se 2.98-2.99
Se1 0.2573 0.2573 0.7649  2 Ho 2.87, 1 Na 2.89, 3 Ce 2.98-2.99
Se2 0.9204 0.5843 0.7616  2 Ho 2.88, 1 Na 2.91, 3 Ce 2.99
Se3 0.5843 0.9204 0.7616  2 Ho 2.88, 1 Na 2.91, 3 Ce 2.99
Ho2 0.3333 0.6667 0.0000  6 Se 2.87-2.88
Se4 0.4157 0.0796 0.2384  2 Ho 2.88, 1 Na 2.91, 3 Ce 2.99
Ce2 0.1642 0.8358 0.5000  6 Se 2.98-2.99
Na1 0.0000 0.0000 0.0000  6 Se 2.89-2.91
Se5 0.0796 0.4157 0.2384  2 Ho 2.88, 1 Na 2.91, 3 Ce 2.99
Se6 0.7427 0.7427 0.2351  2 Ho 2.87, 1 Na 2.89, 3 Ce 2.98-2.99
Ce3 0.5000 0.5000 0.5000  6 Se 2.99

***

Record 9
This record from Alexandria describes crystalline SrAlCdAu2 at its relaxed geometry. The functional is PBE-GGA.

Properties
As for the space group: P4/mmm, No. 123. Its excess energy over the best structure of this formula in the dataset is 522 meV/atom. Its formation energy is 0.02 eV per formula unit.

Cell lengths 4.9482, 5.9810, 4.9482 Å; angles 90.00, 90.00, 90.00 degrees
With the nearest neighbours (Å) after each atom.
Element x y z (fractional)
Cd1 0.5000 0.5000 0.5000  4 Sr 3.50, 8 Au 3.88
Au1 0.5000 0.0000 0.0000  2 Al 2.47
Sr1 0.0000 0.5000 0.0000  2 Al 2.99
Au2 0.0000 0.0000 0.5000  2 Al 2.47
Al1 0.0000 0.0000 0.0000  4 Au 2.47

***

Record 10
This record from Alexandria describes crystalline TmZn4Pd at its relaxed geometry. The functional is PBE-GGA.

Properties
As for the space group: F-43m, No. 216. Its formation energy is -2.32 eV per formula unit.

Cell lengths 5.1752, 5.1752, 5.1752 Å; angles 60.00, 60.00, 60.00 degrees
With the nearest neighbours (Å) after each atom.
Element x y z (fractional)
Zn1 0.6257 0.6257 0.1228  6 Zn 2.57-2.60
Zn2 0.6257 0.1228 0.6257  6 Zn 2.57-2.60
Pd1 0.0000 0.0000 0.0000  12 Zn 3.03, 4 Tm 3.17
Tm1 0.2500 0.2500 0.2500  12 Zn 3.04, 4 Pd 3.17
Zn3 0.1228 0.6257 0.6257  6 Zn 2.57-2.60
Zn4 0.6257 0.6257 0.6257  6 Zn 2.57-2.60

***

Record 11
This record from Alexandria describes crystalline TaCr3Cu2S8 at its relaxed geometry. The functional is PBE-GGA.

Properties
As for the space group: Pmc2_1, No. 26. Its excess energy over the best structure of this formula in the dataset is 70 meV/atom. Its raw formation energy is -0.642 eV/atom.

Cell lengths 5.7247, 7.0550, 12.0423 Å; angles 90.00, 90.00, 90.00 degrees
With the nearest neighbours (Å) after each atom.
Element x y z (fractional)
S1 0.0127 0.5000 0.0833  1 Cu 2.37, 1 Ta 2.39, 2 Cr 2.48
Cr1 0.2569 0.2466 0.9996  6 S 2.35-2.48
Ta1 0.2268 0.5000 0.7460  6 S 2.39-2.55
S2 0.5308 0.5000 0.4167  1 Cu 2.22, 2 Cr 2.38, 1 Ta 2.48
S3 0.5118 0.7447 0.6685  1 Cu 2.29, 2 Cr 2.43, 1 Ta 2.55
S4 0.9864 0.7636 0.3311  1 Cu 2.23, 1 Ta 2.45, 1 Cr 2.46
Ta2 0.7732 0.5000 0.2460  6 S 2.39-2.55
Cu1 0.6687 0.0000 0.0885  4 S 2.21-2.29
S5 0.4882 0.2553 0.1685  1 Cu 2.29, 2 Cr 2.43, 1 Ta 2.55
S6 0.0540 0.0000 0.0889  1 Cu 2.21, 3 Cr 2.35-2.37
S7 0.0136 0.2364 0.8311  1 Cu 2.23, 1 Ta 2.45, 1 Cr 2.46
S8 0.9864 0.2364 0.3311  1 Cu 2.23, 1 Ta 2.45, 1 Cr 2.46
S9 0.9460 0.0000 0.5889  1 Cu 2.21, 3 Cr 2.35-2.37
S10 0.5069 0.0000 0.4208  1 Cu 2.26, 3 Cr 2.40
S11 0.4882 0.7447 0.1685  1 Cu 2.29, 2 Cr 2.43, 1 Ta 2.55
Cu2 0.8564 0.5000 0.9013  4 S 2.22-2.37
S12 0.0136 0.7636 0.8311  1 Cu 2.23, 1 Ta 2.45, 1 Cr 2.46
Cr2 0.7282 0.0000 0.7561  6 S 2.37-2.50
S13 0.9873 0.5000 0.5833  1 Cu 2.37, 1 Ta 2.39, 2 Cr 2.48
Cu3 0.3313 0.0000 0.5885  4 S 2.21-2.29
Cr3 0.2718 0.0000 0.2561  6 S 2.37-2.50
Cu4 0.1436 0.5000 0.4013  4 S 2.22-2.37
Cr4 0.7431 0.2466 0.4996  6 S 2.35-2.48
S14 0.5118 0.2553 0.6685  1 Cu 2.29, 2 Cr 2.43, 1 Ta 2.55
Cr5 0.7431 0.7534 0.4996  6 S 2.35-2.48
S15 0.4692 0.5000 0.9167  1 Cu 2.22, 2 Cr 2.38, 1 Ta 2.48
S16 0.4931 0.0000 0.9208  1 Cu 2.26, 3 Cr 2.40
Cr6 0.2569 0.7534 0.9996  6 S 2.35-2.48

***

Record 12
This record from Alexandria describes crystalline K2MoAs at its relaxed geometry. The functional is PBE-GGA.

Properties
As for the space group: Immm, No. 71. Its formation energy is 3.18 eV per formula unit.

Cell lengths 6.3555, 6.3555, 6.3555 Å; angles 141.30, 141.34, 55.86 degrees
With the nearest neighbours (Å) after each atom.
Element x y z (fractional)
Mo1 0.2500 0.7500 0.5000  4 As 2.98
K1 0.9995 0.9995 0.0000  4 K 2.98
As1 0.7500 0.2500 0.5000  4 Mo 2.98
K2 0.5005 0.5005 0.0000  4 K 2.98

***

| no. | magnetic moment (μB per formula unit) |
| --- | --- |
| 1 | 15.39 |
| 2 | 0.00 |
| 3 | 0.00 |
| 4 | 0.00 |
| 5 | 0.00 |
| 6 | 0.13 |
| 7 | 0.00 |
| 8 | 3.60 |
| 9 | 0.00 |
| 10 | 0.00 |
| 11 | 9.02 |
| 12 | 2.94 |